*w*
Mo2OsC2 | PBE | optimized geometry

Calculated values
As for the crystal system: tetragonal. Its density of states at the Fermi level is 12.024 states/eV/cell. As for the space group: P4/mbm, No. 127.

Lattice parameters (Å, degrees): 6.540 6.540 2.765 90.00 90.00 90.00
Atoms (fractional coordinates):
Mo1 0.357 0.857 0.000
Mo2 0.857 0.643 0.000
Mo3 0.643 0.143 0.000
Mo4 0.143 0.357 0.000
Os1 0.000 0.000 0.000
Os2 0.500 0.500 0.000
C1 0.144 0.644 0.500
C2 0.644 0.856 0.500
C3 0.856 0.356 0.500
C4 0.356 0.144 0.500

=====

*x*
Mo2OsC2 | PBE | optimized geometry

Calculated values
As for the crystal system: tetragonal. Its density of states at the Fermi level is 2.618 states/eV/cell. As for the space group: I4/mmm, No. 139.

Lattice parameters (Å, degrees): 3.816 3.816 5.007 67.60 67.60 90.00
Atoms (fractional coordinates):
Mo1 0.344 0.344 0.312
Mo2 0.656 0.656 0.688
Os1 0.000 0.000 0.000
C1 0.750 0.250 0.500
C2 0.250 0.750 0.500

=====

Most stable of them? *x*.